{
  "formula": "Mn6Pd5",
  "functional": "GGA-PBE",
  "state": "relaxed",
  "lattice_angstrom": [[-3.6913, 0.0205, -2.2694], [3.2905, 0.0567, -5.3518], [0.2048, -6.4854, 3.7451]],
  "species": ["Pd", "Pd", "Pd", "Pd", "Pd", "Mn", "Mn", "Mn", "Mn", "Mn", "Mn"],
  "frac_coords": [[0.3242, 0.8242, 0.6485], [0.0000, 0.5000, 0.0000], [0.6758, 0.1758, 0.3515], [0.6626, 0.6626, 0.3253], [0.3374, 0.3374, 0.6747], [0.8404, 0.0777, 0.6809], [0.5000, 0.7695, 0.0000], [0.8405, 0.6032, 0.6809], [0.1595, 0.3968, 0.3191], [0.1596, 0.9223, 0.3191], [0.5000, 0.2305, 0.0000]],
  "crystal_system": "orthorhombic",
  "formation_enthalpy_0k_mev_per_atom": -46.6
}



{
  "formula": "Mn3Pd8",
  "functional": "GGA-PBE",
  "state": "relaxed",
  "lattice_angstrom": [[5.7385, -0.1765, -0.1722], [-0.0308, 5.7411, -0.1722], [-0.0308, -0.0300, 5.7436]],
  "species": ["Mn", "Mn", "Mn", "Pd", "Pd", "Pd", "Pd", "Pd", "Pd", "Pd", "Pd"],
  "frac_coords": [[0.5000, 0.0000, 0.5000], [0.5000, 0.5000, 0.0000], [0.0000, 0.5000, 0.5000], [0.8915, 0.0925, 0.6833], [0.9075, 0.3167, 0.1085], [0.3625, 0.3625, 0.3625], [0.0925, 0.6833, 0.8915], [0.1085, 0.9075, 0.3167], [0.6833, 0.8915, 0.0925], [0.3167, 0.1085, 0.9075], [0.6375, 0.6375, 0.6375]],
  "crystal_system": "trigonal",
  "formation_enthalpy_0k_mev_per_atom": 272.6
}



{
  "formula": "Mn3Pd5",
  "functional": "GGA-PBE",
  "state": "relaxed",
  "lattice_angstrom": [[-1.7413, -4.7414, 2.1131], [5.1421, -0.2977, 1.8571], [-1.1232, 1.9368, 3.4204]],
  "species": ["Mn", "Mn", "Mn", "Pd", "Pd", "Pd", "Pd", "Pd"],
  "frac_coords": [[0.2756, 0.7244, 0.5000], [0.0000, 0.0000, 0.0000], [0.7244, 0.2756, 0.5000], [0.2236, 0.2236, 0.5000], [0.0000, 0.5000, 0.0000], [0.7764, 0.7764, 0.5000], [0.5000, 0.0000, 0.0000], [0.5000, 0.5000, 0.0000]],
  "crystal_system": "orthorhombic",
  "formation_enthalpy_0k_mev_per_atom": -237.3
}



| no. | magnetization (μB/cell) |
| --- | --- |
| 1 | 26.01 |
| 2 | 13.29 |
| 3 | 13.76 |